[1]
The following is a GGA-PBE calculation of a relaxed structure of Mn2FeW, from the Alexandria database. Values from VASP.

Structure (Quantum ESPRESSO input):
```
&SYSTEM
  ibrav = 0, nat = 4, ntyp = 3
/
ATOMIC_SPECIES
Mn 54.94 Mn.upf
Fe 55.84 Fe.upf
W 183.84 W.upf
ATOMIC_POSITIONS crystal
Mn 0.493 0.493 0.493
Fe 0.750 0.750 0.750
Mn 0.007 0.007 0.007
W 0.250 0.250 0.250
CELL_PARAMETERS angstrom
-5.723 2.729 -5.774
-6.515 0.245 -5.571
-7.377 2.035 -3.870
```


[2]
The following is a GGA-PBE calculation of a relaxed structure of MnFeW, from the Alexandria database. Values from VASP.

Structure (Quantum ESPRESSO input):
```
&SYSTEM
  ibrav = 0, nat = 3, ntyp = 3
/
ATOMIC_SPECIES
Mn 54.94 Mn.upf
W 183.84 W.upf
Fe 55.84 Fe.upf
ATOMIC_POSITIONS crystal
Mn 0.667 0.333 0.333
W 0.333 0.667 0.667
Fe 0.000 0.000 0.000
CELL_PARAMETERS angstrom
-3.578 1.670 -1.335
0.020 -3.813 1.684
-0.395 1.040 2.360
```


[3]
The following is a GGA-PBE calculation of a relaxed structure of Mn2FeW, from the Alexandria database. Values from VASP.

Structure (Quantum ESPRESSO input):
```
&SYSTEM
  ibrav = 0, nat = 4, ntyp = 3
/
ATOMIC_SPECIES
Fe 55.84 Fe.upf
W 183.84 W.upf
Mn 54.94 Mn.upf
ATOMIC_POSITIONS crystal
Fe 0.500 0.755 0.762
W 0.000 0.496 0.502
Mn 0.000 0.988 0.003
Mn 0.500 0.260 0.233
CELL_PARAMETERS angstrom
4.059 0.000 0.000
0.000 2.579 -0.001
0.000 1.024 4.812
```


[4]
The following is a GGA-PBE calculation of a relaxed structure of MnFeW2, from the Alexandria database. Values from VASP.

Structure (Quantum ESPRESSO input):
```
&SYSTEM
  ibrav = 0, nat = 4, ntyp = 3
/
ATOMIC_SPECIES
W 183.84 W.upf
Fe 55.84 Fe.upf
Mn 54.94 Mn.upf
ATOMIC_POSITIONS crystal
W 0.500 0.000 0.500
Fe 0.000 0.500 0.500
Mn 0.500 0.500 0.000
W 0.000 0.000 0.000
CELL_PARAMETERS angstrom
-4.764 1.335 -1.548
0.563 -1.638 4.603
-0.394 2.279 1.316
```


Ordered calculated formation energy results: 348, 101, 146, 143; unit meV per atom.